Entry 1
# MnBeTcPCl (PBE-GGA, optimized geometry)
# N(E_F) = 0.66 states/eV/atom
# mass density = 4.593 g cm⁻³
# symmetry = Cm, No. 8
data_MnBeTcPCl
_cell_length_a 3.2324
_cell_length_b 3.0830
_cell_length_c 16.6115
_cell_angle_alpha 90.00
_cell_angle_beta 94.08
_cell_angle_gamma 90.00
_symmetry_space_group_name_H-M 'P 1'
_symmetry_Int_Tables_number 1
_symmetry_space_group_name_Hall 'P 1'
loop_
_atom_site_label
_atom_site_fract_x
_atom_site_fract_y
_atom_site_fract_z
Tc1 0.7221 0.5000 0.6845
Tc2 0.7221 0.0000 0.1845
P1 0.6760 0.5000 0.5401
P2 0.6760 0.0000 0.0401
Be1 0.2237 0.0000 0.7490
Be2 0.2237 0.5000 0.2490
Mn1 0.1975 0.0000 0.5958
Mn2 0.1975 0.5000 0.0958
Cl1 0.0920 0.5000 0.8305
Cl2 0.0920 0.0000 0.3305


Entry 2
# MnBeTcPCl (PBE-GGA, optimized geometry)
# N(E_F) = 0.48 states/eV/atom
# mass density = 5.098 g cm⁻³
# symmetry = Amm2, No. 38
data_MnBeTcPCl
_cell_length_a 3.0059
_cell_length_b 3.0642
_cell_length_c 16.1521
_cell_angle_alpha 90.00
_cell_angle_beta 90.00
_cell_angle_gamma 90.00
_symmetry_space_group_name_H-M 'P 1'
_symmetry_Int_Tables_number 1
_symmetry_space_group_name_Hall 'P 1'
loop_
_atom_site_label
_atom_site_fract_x
_atom_site_fract_y
_atom_site_fract_z
Mn1 0.0000 0.5000 0.0496
Mn2 0.0000 0.0000 0.5496
Tc1 0.0000 0.5000 0.2120
Tc2 0.0000 0.0000 0.7120
P1 0.5000 0.5000 0.6411
P2 0.5000 0.0000 0.1411
Be1 0.5000 0.0000 0.3040
Be2 0.5000 0.5000 0.8040
Cl1 0.0000 0.0000 0.4041
Cl2 0.0000 0.5000 0.9041


Entry 3
# MnBeTcPCl (PBE-GGA, optimized geometry)
# N(E_F) = 0.68 states/eV/atom
# mass density = 4.008 g cm⁻³
# symmetry = P1, No. 1
data_MnBeTcPCl
_cell_length_a 3.8995
_cell_length_b 3.9006
_cell_length_c 7.1574
_cell_angle_alpha 86.13
_cell_angle_beta 87.02
_cell_angle_gamma 60.61
_symmetry_space_group_name_H-M 'P 1'
_symmetry_Int_Tables_number 1
_symmetry_space_group_name_Hall 'P 1'
loop_
_atom_site_label
_atom_site_fract_x
_atom_site_fract_y
_atom_site_fract_z
Be1 0.6233 0.9404 0.5315
Mn1 0.9696 0.2974 0.3315
P1 0.6388 0.9736 0.2078
Cl1 0.4212 0.7262 0.7406
Tc1 0.3015 0.6251 0.4100


Energetically preferred structure: entry 1 | next structure: +22 meV per atom


Entry 1
# MnBeTcPCl (PBE-GGA, optimized geometry)
# N(E_F) = 0.70 states/eV/atom
# mass density = 5.256 g cm⁻³
# symmetry = Imm2, No. 44
data_MnBeTcPCl
_cell_length_a 3.1627
_cell_length_b 3.4338
_cell_length_c 13.2867
_cell_angle_alpha 90.00
_cell_angle_beta 90.00
_cell_angle_gamma 90.00
_symmetry_space_group_name_H-M 'P 1'
_symmetry_Int_Tables_number 1
_symmetry_space_group_name_Hall 'P 1'
loop_
_atom_site_label
_atom_site_fract_x
_atom_site_fract_y
_atom_site_fract_z
Be1 0.5000 0.0000 0.2285
Be2 0.0000 0.5000 0.7285
Cl1 0.0000 0.0000 0.9136
Cl2 0.5000 0.5000 0.4136
Tc1 0.0000 0.5000 0.2598
Tc2 0.5000 0.0000 0.7598
P1 0.5000 0.5000 0.1215
P2 0.0000 0.0000 0.6215
Mn1 0.0000 0.0000 0.0873
Mn2 0.5000 0.5000 0.5873


Entry 2
# MnBeTcPCl (PBE-GGA, optimized geometry)
# N(E_F) = 0.38 states/eV/atom
# mass density = 5.008 g cm⁻³
# symmetry = Cm, No. 8
data_MnBeTcPCl
_cell_length_a 5.4952
_cell_length_b 3.0262
_cell_length_c 9.6147
_cell_angle_alpha 90.00
_cell_angle_beta 108.71
_cell_angle_gamma 90.00
_symmetry_space_group_name_H-M 'P 1'
_symmetry_Int_Tables_number 1
_symmetry_space_group_name_Hall 'P 1'
loop_
_atom_site_label
_atom_site_fract_x
_atom_site_fract_y
_atom_site_fract_z
Cl1 0.7630 0.5000 0.7100
Cl2 0.7630 0.0000 0.2100
Be1 0.7031 0.0000 0.4082
Be2 0.7031 0.5000 0.9082
P1 0.1152 0.5000 0.0368
P2 0.1152 0.0000 0.5368
Mn1 0.2410 0.5000 0.7539
Mn2 0.2410 0.0000 0.2539
Tc1 0.3992 0.5000 0.4833
Tc2 0.3992 0.0000 0.9833


Entry 3
# MnBeTcPCl (PBE-GGA, optimized geometry)
# N(E_F) = 0.53 states/eV/atom
# mass density = 4.134 g cm⁻³
# symmetry = P1, No. 1
data_MnBeTcPCl
_cell_length_a 3.0012
_cell_length_b 4.0976
_cell_length_c 7.6073
_cell_angle_alpha 85.36
_cell_angle_beta 85.67
_cell_angle_gamma 80.29
_symmetry_space_group_name_H-M 'P 1'
_symmetry_Int_Tables_number 1
_symmetry_space_group_name_Hall 'P 1'
loop_
_atom_site_label
_atom_site_fract_x
_atom_site_fract_y
_atom_site_fract_z
Tc1 0.3830 0.2138 0.4489
Cl1 0.3921 0.8515 0.7370
Mn1 0.2219 0.7779 0.2600
P1 0.8833 0.3276 0.2088
Be1 0.9439 0.7094 0.5668


Energetically preferred structure: entry 1 | next structure: +80 meV per atom


Entry 1
# MnBeSCl2 (PBE-GGA, optimized geometry)
# N(E_F) = 0.05 states/eV/atom
# mass density = 3.039 g cm⁻³
# symmetry = P4/mmm, No. 123
data_MnBeSCl2
_cell_length_a 4.2054
_cell_length_b 4.2054
_cell_length_c 5.1572
_cell_angle_alpha 90.00
_cell_angle_beta 90.00
_cell_angle_gamma 90.00
_symmetry_space_group_name_H-M 'P 1'
_symmetry_Int_Tables_number 1
_symmetry_space_group_name_Hall 'P 1'
loop_
_atom_site_label
_atom_site_fract_x
_atom_site_fract_y
_atom_site_fract_z
Cl1 0.0000 0.5000 0.0000
Cl2 0.5000 0.0000 0.0000
Mn1 0.5000 0.5000 0.5000
Be1 0.0000 0.0000 0.0000
S1 0.0000 0.0000 0.5000


Entry 2
# MnBeSCl2 (PBE-GGA, optimized geometry)
# N(E_F) = 1.32 states/eV/atom
# mass density = 2.905 g cm⁻³
# symmetry = P4/mmm, No. 123
data_MnBeSCl2
_cell_length_a 4.7106
_cell_length_b 4.7106
_cell_length_c 4.2996
_cell_angle_alpha 90.00
_cell_angle_beta 90.00
_cell_angle_gamma 90.00
_symmetry_space_group_name_H-M 'P 1'
_symmetry_Int_Tables_number 1
_symmetry_space_group_name_Hall 'P 1'
loop_
_atom_site_label
_atom_site_fract_x
_atom_site_fract_y
_atom_site_fract_z
Cl1 0.0000 0.5000 0.0000
Cl2 0.5000 0.0000 0.0000
S1 0.0000 0.0000 0.5000
Be1 0.5000 0.5000 0.5000
Mn1 0.0000 0.0000 0.0000


Energetically preferred structure: entry 1 | next structure: +676 meV per atom


Entry 1
# Be2MoCl (PBE-GGA, optimized geometry)
# N(E_F) = 0.84 states/eV/atom
# mass density = 4.823 g cm⁻³
# symmetry = F-43m, No. 216
data_Be2MoCl
_cell_length_a 4.1747
_cell_length_b 4.1747
_cell_length_c 4.1747
_cell_angle_alpha 60.00
_cell_angle_beta 60.00
_cell_angle_gamma 60.00
_symmetry_space_group_name_H-M 'P 1'
_symmetry_Int_Tables_number 1
_symmetry_space_group_name_Hall 'P 1'
loop_
_atom_site_label
_atom_site_fract_x
_atom_site_fract_y
_atom_site_fract_z
Be1 0.0000 0.0000 0.0000
Be2 0.2500 0.2500 0.2500
Mo1 0.7500 0.7500 0.7500
Cl1 0.5000 0.5000 0.5000


Entry 2
# Be2MoCl (PBE-GGA, optimized geometry)
# N(E_F) = 0.47 states/eV/atom
# mass density = 4.654 g cm⁻³
# symmetry = Fm-3m, No. 225
data_Be2MoCl
_cell_length_a 4.2244
_cell_length_b 4.2244
_cell_length_c 4.2244
_cell_angle_alpha 60.00
_cell_angle_beta 60.00
_cell_angle_gamma 60.00
_symmetry_space_group_name_H-M 'P 1'
_symmetry_Int_Tables_number 1
_symmetry_space_group_name_Hall 'P 1'
loop_
_atom_site_label
_atom_site_fract_x
_atom_site_fract_y
_atom_site_fract_z
Cl1 0.0000 0.0000 0.0000
Be1 0.7500 0.7500 0.7500
Be2 0.2500 0.2500 0.2500
Mo1 0.5000 0.5000 0.5000


Entry 3
# Be2MoCl (PBE-GGA, optimized geometry)
# N(E_F) = 0.33 states/eV/atom
# mass density = 4.586 g cm⁻³
# symmetry = Cmmm, No. 65
data_Be2MoCl
_cell_length_a 2.8104
_cell_length_b 2.8104
_cell_length_c 7.2314
_cell_angle_alpha 90.00
_cell_angle_beta 90.00
_cell_angle_gamma 108.69
_symmetry_space_group_name_H-M 'P 1'
_symmetry_Int_Tables_number 1
_symmetry_space_group_name_Hall 'P 1'
loop_
_atom_site_label
_atom_site_fract_x
_atom_site_fract_y
_atom_site_fract_z
Be1 0.0000 0.0000 0.5054
Be2 0.0000 0.0000 0.9946
Mo1 0.5000 0.5000 0.7500
Cl1 0.5000 0.5000 0.2500


Entry 4
# Be2MoCl (PBE-GGA, optimized geometry)
# N(E_F) = 0.68 states/eV/atom
# mass density = 4.953 g cm⁻³
# symmetry = I-4m2, No. 119
data_Be2MoCl
_cell_length_a 4.8467
_cell_length_b 4.8467
_cell_length_c 4.8467
_cell_angle_alpha 138.17
_cell_angle_beta 138.17
_cell_angle_gamma 60.64
_symmetry_space_group_name_H-M 'P 1'
_symmetry_Int_Tables_number 1
_symmetry_space_group_name_Hall 'P 1'
loop_
_atom_site_label
_atom_site_fract_x
_atom_site_fract_y
_atom_site_fract_z
Cl1 0.5000 0.5000 0.0000
Be1 0.0000 0.0000 0.0000
Be2 0.2500 0.7500 0.5000
Mo1 0.7500 0.2500 0.5000


Energetically preferred structure: entry 3 | next structure: +387 meV per atom